No. 1
Entry from Alexandria: crystalline Rb2SrAu2 at its relaxed geometry (PBE-GGA).

Lattice parameters (Å, degrees): 8.3643 8.3643 5.4858 90.00 90.00 90.00
Fractional positions:
Rb: 0.1627 0.3373 0.0000
Rb: 0.3373 0.8373 0.0000
Rb: 0.6627 0.1627 0.0000
Rb: 0.8373 0.6627 0.0000
Sr: 0.0000 0.0000 0.5000
Sr: 0.5000 0.5000 0.5000
Au: 0.1243 0.6243 0.5000
Au: 0.3757 0.1243 0.5000
Au: 0.6243 0.8757 0.5000
Au: 0.8757 0.3757 0.5000

Output
ΔH_f (0 K)	-28.6	kJ per mole of atoms
energy relative to the lowest polymorph listed for this composition	0.000	eV/atom
space group	P4/mbm (127)
density of states at the Fermi level	0.24	states/eV/atom

No. 2
Entry from Alexandria: crystalline Pr2MgGe3 at its relaxed geometry (PBE-GGA).

Lattice parameters (Å, degrees): 6.9932 4.4532 18.8311 90.00 90.00 90.00
Fractional positions:
Pr: 0.1658 0.2500 0.0835
Pr: 0.1858 0.2500 0.2987
Pr: 0.3142 0.7500 0.7987
Pr: 0.3342 0.7500 0.5835
Pr: 0.6658 0.2500 0.4165
Pr: 0.6858 0.2500 0.2013
Pr: 0.8142 0.7500 0.7013
Pr: 0.8342 0.7500 0.9165
Mg: 0.0541 0.7500 0.4395
Mg: 0.4459 0.2500 0.9395
Mg: 0.5541 0.7500 0.0605
Mg: 0.9459 0.2500 0.5605
Ge: 0.0037 0.2500 0.8157
Ge: 0.1359 0.2500 0.6888
Ge: 0.2465 0.7500 0.9675
Ge: 0.2535 0.2500 0.4675
Ge: 0.3641 0.7500 0.1888
Ge: 0.4963 0.7500 0.3157
Ge: 0.5037 0.2500 0.6843
Ge: 0.6359 0.2500 0.8112
Ge: 0.7465 0.7500 0.5325
Ge: 0.7535 0.2500 0.0325
Ge: 0.8641 0.7500 0.3112
Ge: 0.9963 0.7500 0.1843

Output
ΔH_f (0 K)	-65.6	kJ per mole of atoms
space group	Pnma (62)
density of states at the Fermi level	0.18	states/eV/atom

No. 3
Entry from Alexandria: crystalline TbZnIn at its relaxed geometry (PBE-GGA).

Lattice parameters (Å, degrees): 4.6939 4.6939 4.6939 60.00 60.00 60.00
Fractional positions:
Tb: 0.0000 0.0000 0.0000
Zn: 0.7500 0.7500 0.7500
In: 0.5000 0.5000 0.5000

Output
ΔH_f (0 K)	-38.4	kJ per mole of atoms
space group	F-43m (216)
density of states at the Fermi level	0.31	states/eV/atom

No. 4
Entry from Alexandria: crystalline RbCaTl2W at its relaxed geometry (PBE-GGA).

Lattice parameters (Å, degrees): 5.9828 5.9828 5.6684 90.00 90.00 90.00
Fractional positions:
Rb: 0.0000 0.0000 0.0000
Ca: 0.5000 0.5000 0.5000
Tl: 0.0000 0.5000 0.5000
Tl: 0.5000 0.0000 0.5000
W: 0.5000 0.5000 0.0000

Output
ΔH_f (0 K)	124.1	kJ per mole of atoms
space group	P4/mmm (123)
density of states at the Fermi level	0.88	states/eV/atom

No. 5
Entry from Alexandria: crystalline CrTcAg2 at its relaxed geometry (PBE-GGA).

Lattice parameters (Å, degrees): 5.2126 5.2126 5.2126 137.63 137.39 61.65
Fractional positions:
Cr: 0.0000 0.0000 0.0000
Tc: 0.5000 0.5000 0.0000
Ag: 0.2499 0.7499 0.5000
Ag: 0.7501 0.2501 0.5000

Output
ΔH_f (0 K)	51.4	kJ per mole of atoms
energy relative to the lowest polymorph listed for this composition	0.209	eV/atom
space group	Immm (71)
density of states at the Fermi level	0.46	states/eV/atom

No. 6
Entry from Alexandria: crystalline Ta2CoNi at its relaxed geometry (PBE-GGA).

Lattice parameters (Å, degrees): 4.3484 4.3484 4.3484 60.00 60.00 60.00
Fractional positions:
Ta: 0.2500 0.2500 0.2500
Ta: 0.7500 0.7500 0.7500
Co: 0.0000 0.0000 0.0000
Ni: 0.5000 0.5000 0.5000

Output
ΔH_f (0 K)	-8.5	kJ per mole of atoms
energy relative to the lowest polymorph listed for this composition	0.098	eV/atom
space group	Fm-3m (225)
density of states at the Fermi level	0.93	states/eV/atom

No. 7
Entry from Alexandria: crystalline RbNi2Cl at its relaxed geometry (PBE-GGA).

Lattice parameters (Å, degrees): 7.7551 7.7551 7.7551 140.67 140.67 56.83
Fractional positions:
Rb: 0.3750 0.6250 0.7500
Rb: 0.6250 0.3750 0.2500
Ni: 0.0000 0.0000 0.0000
Ni: 0.0000 0.0000 0.5000
Ni: 0.0000 0.5000 0.0000
Ni: 0.5000 0.0000 0.5000
Cl: 0.1250 0.8750 0.2500
Cl: 0.8750 0.1250 0.7500

Output
E_form (uncorrected)	0.59	eV/f.u.
energy relative to the lowest polymorph listed for this composition	0.000	eV/atom
space group	I4_1/amd (141)
density of states at the Fermi level	0.04	states/eV/atom

No. 8
Entry from Alexandria: crystalline NaFeSn3 at its relaxed geometry (PBE-GGA).

Lattice parameters (Å, degrees): 5.0983 5.0983 5.0983 90.00 90.00 90.00
Fractional positions:
Na: 0.0000 0.0000 0.0000
Fe: 0.5000 0.5000 0.5000
Sn: 0.0000 0.5000 0.5000
Sn: 0.5000 0.0000 0.5000
Sn: 0.5000 0.5000 0.0000

Output
ΔH_f (0 K)	6.4	kJ per mole of atoms
energy relative to the lowest polymorph listed for this composition	0.000	eV/atom
space group	Pm-3m (221)
density of states at the Fermi level	0.50	states/eV/atom

No. 9
Entry from Alexandria: crystalline Cd2InTe at its relaxed geometry (PBE-GGA).

Lattice parameters (Å, degrees): 11.7957 11.7957 11.7957 15.76 15.76 15.76
Fractional positions:
Cd: 0.2438 0.2438 0.2438
Cd: 0.7562 0.7562 0.7562
In: 0.5000 0.5000 0.5000
Te: 0.0000 0.0000 0.0000

Output
E_form (uncorrected)	0.35	eV/f.u.
energy relative to the lowest polymorph listed for this composition	0.165	eV/atom
space group	R-3m (166)
density of states at the Fermi level	0.48	states/eV/atom

No. 10
Entry from Alexandria: crystalline NaCe2BO5 at its relaxed geometry (PBE-GGA).

Lattice parameters (Å, degrees): 6.7986 6.7986 6.7986 119.58 119.58 90.72
Fractional positions:
Na: 0.2500 0.2500 0.0000
Na: 0.7500 0.7500 0.0000
Ce: 0.1859 0.6859 0.8718
Ce: 0.3141 0.1859 0.5000
Ce: 0.6859 0.8141 0.5000
Ce: 0.8141 0.3141 0.1282
B: 0.2500 0.7500 0.5000
B: 0.7500 0.2500 0.5000
O: 0.0000 0.0000 0.0000
O: 0.0319 0.7770 0.5000
O: 0.2230 0.7230 0.2549
O: 0.2770 0.5319 0.5000
O: 0.4681 0.9681 0.7451
O: 0.5000 0.5000 0.0000
O: 0.5319 0.0319 0.2549
O: 0.7230 0.4681 0.5000
O: 0.7770 0.2770 0.7451
O: 0.9681 0.2230 0.5000

Output
E_form (uncorrected)	-24.91	eV/f.u.
space group	I4/mcm (140)
density of states at the Fermi level	1.24	states/eV/atom

No. 11
Entry from Alexandria: crystalline Tm3ZnRh at its relaxed geometry (PBE-GGA).

Lattice parameters (Å, degrees): 4.4069 6.7766 8.2795 90.00 90.00 90.00
Fractional positions:
Tm: 0.2500 0.0012 0.1633
Tm: 0.2500 0.2500 0.5549
Tm: 0.2500 0.4988 0.1633
Tm: 0.7500 0.5012 0.8367
Tm: 0.7500 0.7500 0.4451
Tm: 0.7500 0.9988 0.8367
Zn: 0.2500 0.7500 0.6798
Zn: 0.7500 0.2500 0.3202
Rh: 0.2500 0.2500 0.8881
Rh: 0.7500 0.7500 0.1119

Output
ΔH_f (0 K)	-43.9	kJ per mole of atoms
energy relative to the lowest polymorph listed for this composition	0.083	eV/atom
space group	Pmmn (59)
density of states at the Fermi level	0.84	states/eV/atom

No. 12
Entry from Alexandria: crystalline PmMgGeRh at its relaxed geometry (PBE-GGA).

Lattice parameters (Å, degrees): 4.8347 4.8347 4.8347 60.00 60.00 60.00
Fractional positions:
Pm: 0.0000 0.0000 0.0000
Mg: 0.5000 0.5000 0.5000
Ge: 0.2500 0.2500 0.2500
Rh: 0.7500 0.7500 0.7500

Output
ΔH_f (0 K)	-47.2	kJ per mole of atoms
space group	F-43m (216)
density of states at the Fermi level	0.30	states/eV/atom

Which calculated total energy belongs to each record? In order, -23.30 -116.35 -9.84 -14.22 -23.56 -36.94 -27.58 -21.46 -7.36 -139.14 -48.63 -20.27 eV/cell.